First-principles (PBE) data for a relaxed structure of Tb3Tl2Ga, as listed in Alexandria via LeMat-Bulk.

Calculated values
Spin magnetization = 0.00 μB/f.u.
Energy above the lowest structure with this stoichiometry = 0.0 meV/atom
ΔH_f (0 K) = -0.4272 eV per atom
Calculated volume = 26.124 Å³ per atom

CIF file:
```
data_Tb3Tl2Ga
_space_group_name_H-M_alt 'P 4/m m m'
_space_group_IT_number 123
_space_group_name_Hall '-P 4 2'
_cell_length_a 3.679
_cell_length_b 3.679
_cell_length_c 11.581
_cell_angle_alpha 90.00
_cell_angle_beta 90.00
_cell_angle_gamma 90.00
loop_
_atom_site_label
_atom_site_type_symbol
_atom_site_fract_x
_atom_site_fract_y
_atom_site_fract_z
Tb1 Tb 0.000 0.000 0.000
Tb2 Tb 0.000 0.000 0.348
Tl1 Tl 0.500 0.500 0.173
Ga1 Ga 0.500 0.500 0.500
```